[1]
A plane-wave DFT calculation with SCAN was carried out for a crystal of Hf3BeTc relaxed with PBEsol.

Geometry as POSCAR:
```
Hf3BeTc
1.0
4.5101 0.0000 0.0000
0.0000 4.5101 0.0000
0.0000 0.0000 4.5101
Hf Be Tc
3 1 1
direct
0.0000 0.0000 0.5000
0.0000 0.5000 0.0000
0.5000 0.0000 0.0000
0.0000 0.0000 0.0000
0.5000 0.5000 0.5000
```

Output
- DFT formation energy (eV/f.u.) = 2.90
- Fermi-level density of states (states/eV/atom) = 1.04
- symmetry = No. 221
- magnetic moment (μB per atom) = 0.00


[2]
A plane-wave DFT calculation with SCAN was carried out for a crystal of MoOs3 relaxed with PBEsol.

Geometry as POSCAR:
```
MoOs3
1.0
2.7388 0.0000 0.0000
-1.3694 2.3718 0.0000
0.0000 0.0000 8.7677
Mo Os
1 3
direct
0.0000 0.0000 0.0000
0.0000 0.0000 0.5000
0.6667 0.3333 0.2549
0.6667 0.3333 0.7451
```

Output
- DFT formation energy (eV/f.u.) = 0.17
- Fermi-level density of states (states/eV/atom) = 0.80
- symmetry = No. 187
- magnetic moment (μB per atom) = 0.00


[3]
A plane-wave DFT calculation with SCAN was carried out for a crystal of MnOs3W relaxed with PBEsol.

Geometry as POSCAR:
```
MnOs3W
1.0
4.3175 0.0000 0.0000
0.0000 4.3175 0.0000
0.0000 0.0000 4.3175
Mn Os W
1 3 1
direct
0.0000 0.0000 0.0000
0.0000 0.0000 0.5000
0.0000 0.5000 0.0000
0.5000 0.0000 0.0000
0.5000 0.5000 0.5000
```

Output
- DFT formation energy (eV/f.u.) = 9.63
- Fermi-level density of states (states/eV/atom) = 1.29
- symmetry = No. 221
- magnetic moment (μB per atom) = 0.00


[4]
A plane-wave DFT calculation with SCAN was carried out for a crystal of BeTlCoCu2 relaxed with PBEsol.

Geometry as POSCAR:
```
BeTlCoCu2
1.0
4.3781 0.0000 0.0000
0.0000 4.3781 0.0000
0.0000 0.0000 4.7669
Be Tl Co Cu
1 1 1 2
direct
0.0000 0.0000 0.0000
0.5000 0.5000 0.0000
0.5000 0.5000 0.5000
0.0000 0.5000 0.5000
0.5000 0.0000 0.5000
```

Output
- DFT formation energy (eV/f.u.) = 6.22
- Fermi-level density of states (states/eV/atom) = 0.78
- symmetry = No. 123
- magnetic moment (μB per atom) = 0.35


[5]
A plane-wave DFT calculation with SCAN was carried out for a crystal of YReCl2 relaxed with PBEsol.

Geometry as POSCAR:
```
YReCl2
1.0
9.1925 -1.5673 0.0000
9.1925 1.5673 0.0000
-0.5143 0.0000 3.0560
Y Re Cl
1 1 2
direct
0.0000 0.0000 0.0000
0.3827 0.3827 0.3847
0.5979 0.5979 0.5966
0.7870 0.7870 0.2907
```

Output
- Fermi-level density of states (states/eV/atom) = 0.41
- ΔE_f (raw) (eV per atom) = -0.573
- energy above the most stable polymorph in this dataset (meV/atom) = 0
- symmetry = No. 8
- magnetic moment (μB per atom) = 0.20


[6]
A plane-wave DFT calculation with SCAN was carried out for a crystal of Fe2TeMo relaxed with PBEsol.

Geometry as POSCAR:
```
Fe2TeMo
1.0
0.0000 3.0217 3.0217
3.0217 0.0000 3.0217
3.0217 3.0217 0.0000
Fe Te Mo
2 1 1
direct
0.2500 0.2500 0.2500
0.7500 0.7500 0.7500
0.0000 0.0000 0.0000
0.5000 0.5000 0.5000
```

Output
- Fermi-level density of states (states/eV/atom) = 0.65
- ΔE_f (raw) (eV per atom) = 0.456
- symmetry = No. 225
- magnetic moment (μB per atom) = 0.99